The following is a DFT calculation (PBE-GGA) of crystalline LiCeS at its relaxed geometry.

Its formation energy without anion corrections is -1.1171 eV/atom. For the energy relative to the lowest polymorph listed for this composition, the calculation gives 0.000 eV/atom.

Cell lengths 4.1620, 3.9606, 3.9606 Å; angles 120.00, 90.00, 90.00 degrees
Last column: nearest neighbours and their distance in Å.
Atoms (fractional coordinates):
S 0.8335 0.6667 0.3333  3 Li 2.29
Ce 0.3333 0.3333 0.6667  6 Li 3.09, 6 S 3.09
Li 0.8332 0.0000 0.0000  3 S 2.29

The following is a DFT calculation (PBE-GGA) of crystalline Hg2TePb at its relaxed geometry.

Its formation energy without anion corrections is -0.0669 eV/atom. For the energy relative to the lowest polymorph listed for this composition, the calculation gives 0.098 eV/atom.

Cell lengths 4.1014, 4.1014, 7.6163 Å; angles 90.00, 90.00, 90.05 degrees
Last column: nearest neighbours and their distance in Å.
Atoms (fractional coordinates):
Hg 0.0000 0.0000 0.0270  4 Hg 3.24-3.25
Hg 0.5000 0.5000 0.2180  4 Hg 3.24-3.25
Pb 0.0000 0.0000 0.5374  4 Te 3.21
Te 0.5000 0.5000 0.7176  4 Pb 3.21

The following is a DFT calculation (PBE-GGA) of crystalline TaRe2Pt at its relaxed geometry.

For the formation energy, the calculation gives -0.117 eV per atom. For the energy relative to the lowest polymorph listed for this composition, the calculation gives 0.161 eV/atom.

Cell lengths 4.8816, 4.8816, 4.9188 Å; angles 81.62, 81.62, 33.02 degrees
Last column: nearest neighbours and their distance in Å.
Atoms (fractional coordinates):
Pt 0.2500 0.2500 0.2500  2 Pt 2.77, 6 Re 2.79-2.82, 4 Ta 2.82
Re 0.9957 0.9957 0.0073  6 Re 2.77-2.88, 3 Ta 2.79-2.88, 3 Pt 2.79-2.82
Re 0.5043 0.5043 0.4927  6 Re 2.77-2.88, 3 Ta 2.79-2.88, 3 Pt 2.79-2.82
Ta 0.7500 0.7500 0.7500  2 Ta 2.77, 6 Re 2.79-2.88, 4 Pt 2.82

The following is a DFT calculation (PBE-GGA) of crystalline MgSnRuBr2 at its relaxed geometry.

Its formation energy without anion corrections is 0.6218 eV/atom.

Cell lengths 5.7634, 5.1880, 5.7634 Å; angles 90.00, 90.00, 90.00 degrees
Last column: nearest neighbours and their distance in Å.
Atoms (fractional coordinates):
Ru 0.0000 0.5000 0.0000  2 Sn 2.59
Mg 0.5000 0.5000 0.5000  8 Br 3.88, 4 Ru 4.08
Sn 0.0000 0.0000 0.0000  2 Ru 2.59, 4 Br 2.88
Br 0.0000 0.0000 0.5000  2 Sn 2.88
Br 0.5000 0.0000 0.0000  2 Sn 2.88

The following is a DFT calculation (PBE-GGA) of crystalline PrNdTm4 at its relaxed geometry.

For the formation energy, the calculation gives 0.278 eV per atom. For the energy relative to the lowest polymorph listed for this composition, the calculation gives 0.252 eV/atom.

Cell lengths 6.6500, 6.6500, 6.6500 Å; angles 60.00, 60.00, 60.00 degrees
Last column: nearest neighbours and their distance in Å.
Atoms (fractional coordinates):
Pr 0.2500 0.2500 0.2500  12 Tm 3.90, 4 Nd 4.07
Tm 0.6251 0.6251 0.1247  6 Tm 3.32-3.33
Tm 0.6251 0.1247 0.6251  6 Tm 3.32-3.33
Tm 0.6251 0.6251 0.6251  6 Tm 3.32-3.33
Tm 0.1247 0.6251 0.6251  6 Tm 3.32-3.33
Nd 0.0000 0.0000 0.0000  12 Tm 3.90, 4 Pr 4.07

The following is a DFT calculation (PBE-GGA) of crystalline RbTl2GeSe4 at its relaxed geometry.

Its formation energy without anion corrections is -0.3349 eV/atom.

Cell lengths 8.6612, 8.6612, 8.3901 Å; angles 119.02, 119.02, 90.66 degrees
Last column: nearest neighbours and their distance in Å.
Atoms (fractional coordinates):
Rb 0.0000 0.5000 0.0000  6 Se 3.26
Rb 0.0000 0.5000 0.5000  6 Se 3.26
Tl 0.5000 0.0000 0.0000  6 Se 2.84-2.91
Tl 0.5000 0.0000 0.5000  6 Se 2.84-2.91
Tl 0.0000 0.0000 0.5000  6 Se 3.19-3.25
Tl 0.5000 0.5000 0.0000  6 Se 3.19-3.25
Ge 0.5000 0.5000 0.5000  6 Se 2.91-2.94
Ge 0.0000 0.0000 0.0000  6 Se 2.91-2.94
Se 0.2696 0.7950 0.0326  2 Tl 2.84-2.85, 1 Ge 2.94
Se 0.7050 0.2304 0.4674  2 Tl 2.84-2.85, 1 Ge 2.94
Se 0.2950 0.7696 0.5326  2 Tl 2.84-2.85, 1 Ge 2.94
Se 0.7304 0.2050 0.9674  2 Tl 2.84-2.85, 1 Ge 2.94
Se 0.7359 0.7645 0.9761  2 Ge 2.91, 3 Tl 2.91-3.19
Se 0.7355 0.7641 0.5239  2 Ge 2.91, 3 Tl 2.91-3.19
Se 0.2645 0.2359 0.4761  2 Ge 2.91, 3 Tl 2.91-3.19
Se 0.2641 0.2355 0.0239  2 Ge 2.91, 3 Tl 2.91-3.19

The following is a DFT calculation (PBE-GGA) of crystalline CaPm3Sm6 at its relaxed geometry.

For the formation energy, the calculation gives 0.210 eV per atom.

Cell lengths 5.8618, 9.6032, 12.5588 Å; angles 90.00, 90.00, 90.00 degrees
Last column: nearest neighbours and their distance in Å.
Atoms (fractional coordinates):
Ca 0.5000 0.5000 0.5000  6 Sm 3.20-3.56
Ca 0.0000 0.0000 0.0000  6 Sm 3.20-3.56
Pm 0.4996 0.1903 0.7584  3 Sm 3.26-3.32
Pm 0.5000 0.5000 0.0000  2 Sm 3.11
Pm 0.5004 0.8097 0.2416  3 Sm 3.26-3.32
Pm 0.9996 0.3097 0.2584  3 Sm 3.26-3.32
Pm 0.0000 0.0000 0.5000  2 Sm 3.11
Pm 0.0004 0.6903 0.7416  3 Sm 3.26-3.32
Sm 0.5000 0.8478 0.8881  4 Sm 3.49-3.85, 2 Ca 3.56, 4 Pm 3.62-3.78
Sm 0.5000 0.8522 0.6046  5 Pm 3.51-3.78, 5 Sm 3.56-3.87, 1 Ca 3.63
Sm 0.4994 0.4707 0.2465  4 Pm 3.11-3.32, 1 Ca 3.20
Sm 0.5006 0.5293 0.7535  4 Pm 3.11-3.32, 1 Ca 3.20
Sm 0.5000 0.1478 0.3954  5 Pm 3.51-3.78, 5 Sm 3.56-3.87, 1 Ca 3.63
Sm 0.5000 0.1522 0.1119  4 Sm 3.49-3.85, 2 Ca 3.56, 4 Pm 3.62-3.78
Sm 0.0000 0.6522 0.3881  4 Sm 3.49-3.85, 2 Ca 3.56, 4 Pm 3.62-3.78
Sm 0.0000 0.6478 0.1046  5 Pm 3.51-3.78, 5 Sm 3.56-3.87, 1 Ca 3.63
Sm 0.9994 0.0293 0.7465  4 Pm 3.11-3.32, 1 Ca 3.20
Sm 0.0006 0.9707 0.2535  4 Pm 3.11-3.32, 1 Ca 3.20
Sm 0.0000 0.3522 0.8954  5 Pm 3.51-3.78, 5 Sm 3.56-3.87, 1 Ca 3.63
Sm 0.0000 0.3478 0.6119  4 Sm 3.49-3.85, 2 Ca 3.56, 4 Pm 3.62-3.78

The following is a DFT calculation (PBE-GGA) of crystalline Li3In4Pb4 at its relaxed geometry.

For the formation energy, the calculation gives -0.114 eV per atom.

Cell lengths 3.5386, 4.1694, 19.3939 Å; angles 96.67, 95.47, 90.06 degrees
Last column: nearest neighbours and their distance in Å.
Atoms (fractional coordinates):
Li 0.6267 0.6311 0.2602  4 In 3.13-3.15, 5 Pb 3.20-3.30
Li 0.3733 0.3690 0.7397  4 In 3.13-3.15, 5 Pb 3.20-3.30
Li 0.0000 0.0000 0.0000  8 Pb 3.18-3.24, 2 In 3.45, 2 Li 3.54
In 0.0861 0.0909 0.1799  5 Li 3.13-3.45, 5 Pb 3.22-3.26
In 0.2741 0.2736 0.5491  6 In 3.30-3.54, 4 Pb 3.36-3.39, 1 Li 3.66
In 0.7258 0.7264 0.4510  6 In 3.30-3.54, 4 Pb 3.36-3.39, 1 Li 3.66
In 0.9139 0.9092 0.8201  5 Li 3.13-3.45, 5 Pb 3.22-3.26
Pb 0.5399 0.5415 0.0881  5 Li 3.18-3.30, 4 In 3.25-3.26, 3 Pb 3.38-3.54
Pb 0.4601 0.4585 0.9119  5 Li 3.18-3.30, 4 In 3.25-3.26, 3 Pb 3.38-3.54
Pb 0.8286 0.8245 0.6521  4 Li 3.20-3.22, 5 In 3.22-3.39, 2 Pb 3.54
Pb 0.1714 0.1755 0.3479  4 Li 3.20-3.22, 5 In 3.22-3.39, 2 Pb 3.54

The following is a DFT calculation (PBE-GGA) of crystalline ZrIrIN2 at its relaxed geometry.

Its formation energy without anion corrections is 1.0626 eV/atom. For the energy relative to the lowest polymorph listed for this composition, the calculation gives 0.000 eV/atom.

Cell lengths 3.8656, 3.8656, 6.8100 Å; angles 90.00, 90.00, 90.00 degrees
Last column: nearest neighbours and their distance in Å.
Atoms (fractional coordinates):
I 0.0000 0.0000 0.5000  4 Zr 2.73
Ir 0.0000 0.0000 0.0000  4 N 1.93
Zr 0.5000 0.5000 0.5000  4 I 2.73
N 0.0000 0.5000 0.0000  2 Ir 1.93
N 0.5000 0.0000 0.0000  2 Ir 1.93

The following is a DFT calculation (PBE-GGA) of crystalline SbBrN2O at its relaxed geometry.

Its formation energy without anion corrections is 1.6216 eV/atom.

Cell lengths 4.0720, 4.0720, 3.9334 Å; angles 90.00, 90.00, 90.00 degrees
Last column: nearest neighbours and their distance in Å.
Atoms (fractional coordinates):
Sb 0.5000 0.5000 0.5000  8 N 2.83, 4 O 2.88
O 0.0000 0.0000 0.5000  2 Br 1.97
Br 0.0000 0.0000 0.0000  2 O 1.97, 4 N 2.04
N 0.0000 0.5000 0.0000  2 Br 2.04
N 0.5000 0.0000 0.0000  2 Br 2.04

The following is a DFT calculation (PBE-GGA) of crystalline Ba3CeTc2O9 at its relaxed geometry.

Its formation energy without anion corrections is -2.4086 eV/atom.

Cell lengths 5.9097, 5.9097, 7.2632 Å; angles 90.00, 90.00, 120.00 degrees
Last column: nearest neighbours and their distance in Å.
Atoms (fractional coordinates):
Ba 0.3333 0.6667 0.6688  12 O 2.95-3.02
Ba 0.0000 0.0000 0.0000  12 O 2.93-2.95
Ba 0.6667 0.3333 0.3312  12 O 2.95-3.02
Ce 0.0000 0.0000 0.5000  6 O 2.24
Tc 0.3333 0.6667 0.1463  6 O 2.01-2.03
Tc 0.6667 0.3333 0.8537  6 O 2.01-2.03
O 0.8236 0.1764 0.6829  1 Tc 2.03, 1 Ce 2.24
O 0.8236 0.6471 0.6829  1 Tc 2.03, 1 Ce 2.24
O 0.3529 0.1764 0.6829  1 Tc 2.03, 1 Ce 2.24
O 0.6471 0.8236 0.3171  1 Tc 2.03, 1 Ce 2.24
O 0.1764 0.3529 0.3171  1 Tc 2.03, 1 Ce 2.24
O 0.1764 0.8236 0.3171  1 Tc 2.03, 1 Ce 2.24
O 0.5000 0.0000 0.0000  2 Tc 2.01
O 0.0000 0.5000 0.0000  2 Tc 2.01
O 0.5000 0.5000 0.0000  2 Tc 2.01

The following is a DFT calculation (PBE-GGA) of crystalline MnCo2Rh at its relaxed geometry.

For the formation energy, the calculation gives 0.012 eV per atom.

Cell lengths 4.5188, 4.5188, 4.5188 Å; angles 133.05, 133.03, 68.59 degrees
Last column: nearest neighbours and their distance in Å.
Atoms (fractional coordinates):
Co 0.0000 0.0000 0.0000  4 Co 2.55, 4 Mn 2.59, 4 Rh 2.59
Co 0.5000 0.5000 0.0000  4 Co 2.55, 4 Mn 2.59, 4 Rh 2.59
Mn 0.7500 0.2500 0.5000  4 Rh 2.55, 8 Co 2.59
Rh 0.2500 0.7500 0.5000  4 Mn 2.55, 8 Co 2.59

no.,Fermi-level density of states (states/eV/f.u.),raw total energy (eV/atom)
1,5.4,-5.109
2,1.1,-1.930
3,3.4,-10.815
4,6.0,-3.022
5,12.9,-4.294
6,3.5,-3.367
7,13.1,-4.247
8,3.6,-2.980
9,3.1,-6.059
10,2.2,-3.859
11,3.8,-7.546
12,4.5,-7.671